## Hf2ThMg (GGA-PBE)

Data for a geometry-optimized Hf2ThMg structure.

Lattice parameters (Å, degrees): 4.6400 4.6400 4.5399 90.00 90.00 90.00
With the nearest neighbours (Å) after each atom.
Positions (direct):
1 Hf 0.0000 0.5000 0.0000  4 Th 3.25, 4 Mg 3.25, 4 Hf 3.28
2 Hf 0.5000 0.0000 0.0000  4 Th 3.25, 4 Mg 3.25, 4 Hf 3.28
3 Th 0.0000 0.0000 0.5000  8 Hf 3.25, 4 Mg 3.28
4 Mg 0.5000 0.5000 0.5000  8 Hf 3.25, 4 Th 3.28

Output
E above lowest polymorph = 0 meV/atom
DFT total energy = -7.088 eV per atom
M_tot = 0.0000 μB per atom
DFT formation energy = 0.143 eV per atom